Density functional theory data (GGA-PBE) for CsKTl2As after structural relaxation.

Computed properties:
* DFT formation energy: -0.186 eV per atom
* M_tot: 0.0 Bohr magnetons per cell
* V: 192.2 Å³/f.u.

The structure in CIF format:
```
data_CsKTl2As
_chemical_formula_sum 'Cs2 K2 Tl4 As2'
_symmetry_space_group_name_H-M 'I m m 2'
_symmetry_Int_Tables_number 44
_symmetry_space_group_name_Hall 'I 2 -2'
_cell_length_a 4.740
_cell_length_b 5.968
_cell_length_c 13.591
_cell_angle_alpha 90.00
_cell_angle_beta 90.00
_cell_angle_gamma 90.00
loop_
_atom_site_label
_atom_site_fract_x
_atom_site_fract_y
_atom_site_fract_z
Cs1 0.000 0.000 0.000
K1 0.000 0.500 0.731
Tl1 0.000 0.000 0.418
Tl2 0.000 0.500 0.255
As1 0.000 0.000 0.622
```

***

Density functional theory data (GGA-PBE) for CsKTlAs after structural relaxation.

Computed properties:
* offset from the most stable computed form: 0.00 kJ per mole of atoms
* DFT formation energy: -0.294 eV per atom
* M_tot: 0.0 Bohr magnetons per cell
* V: 167.5 Å³/f.u.

The structure in CIF format:
```
data_CsKTlAs
_chemical_formula_sum 'Cs2 K2 Tl2 As2'
_symmetry_space_group_name_H-M 'A m m 2'
_symmetry_Int_Tables_number 38
_symmetry_space_group_name_Hall 'A 2 -2'
_cell_length_a 4.449
_cell_length_b 5.456
_cell_length_c 13.800
_cell_angle_alpha 90.00
_cell_angle_beta 90.00
_cell_angle_gamma 90.00
loop_
_atom_site_label
_atom_site_fract_x
_atom_site_fract_y
_atom_site_fract_z
Cs1 0.000 0.000 0.000
K1 0.500 0.000 0.705
Tl1 0.500 0.000 0.392
As1 0.000 0.000 0.266
```

***

Density functional theory data (GGA-PBE) for CsK2TlAs after structural relaxation.

Computed properties:
* DFT formation energy: -0.079 eV per atom
* M_tot: 0.3 Bohr magnetons per cell
* V: 252.6 Å³/f.u.

The structure in CIF format:
```
data_CsK2TlAs
_chemical_formula_sum 'Cs1 K2 Tl1 As1'
_symmetry_space_group_name_H-M 'P 4/m m m'
_symmetry_Int_Tables_number 123
_symmetry_space_group_name_Hall '-P 4 2'
_cell_length_a 6.521
_cell_length_b 6.521
_cell_length_c 5.942
_cell_angle_alpha 90.00
_cell_angle_beta 90.00
_cell_angle_gamma 90.00
loop_
_atom_site_label
_atom_site_fract_x
_atom_site_fract_y
_atom_site_fract_z
Cs1 0.000 0.000 0.000
K1 0.000 0.500 0.500
Tl1 0.500 0.500 0.000
As1 0.500 0.500 0.500
```

***

Density functional theory data (GGA-PBE) for Cs2KTlAs after structural relaxation.

Computed properties:
* DFT formation energy: -0.078 eV per atom
* M_tot: 0.0 Bohr magnetons per cell
* V: 304.7 Å³/f.u.

The structure in CIF format:
```
data_Cs2KTlAs
_chemical_formula_sum 'Cs2 K1 Tl1 As1'
_symmetry_space_group_name_H-M 'P 4/m m m'
_symmetry_Int_Tables_number 123
_symmetry_space_group_name_Hall '-P 4 2'
_cell_length_a 7.480
_cell_length_b 7.480
_cell_length_c 5.446
_cell_angle_alpha 90.00
_cell_angle_beta 90.00
_cell_angle_gamma 90.00
loop_
_atom_site_label
_atom_site_fract_x
_atom_site_fract_y
_atom_site_fract_z
Cs1 0.000 0.500 0.000
K1 0.000 0.000 0.500
Tl1 0.500 0.500 0.500
As1 0.500 0.500 0.000
```

***

Density functional theory data (GGA-PBE) for Cs2KZnAs after structural relaxation.

Computed properties:
* offset from the most stable computed form: 37.43 kJ per mole of atoms
* DFT formation energy: 0.324 eV per atom
* M_tot: 0.3 Bohr magnetons per cell
* V: 271.5 Å³/f.u.

The structure in CIF format:
```
data_Cs2KZnAs
_chemical_formula_sum 'Cs2 K1 Zn1 As1'
_symmetry_space_group_name_H-M 'P 4/m m m'
_symmetry_Int_Tables_number 123
_symmetry_space_group_name_Hall '-P 4 2'
_cell_length_a 6.602
_cell_length_b 6.602
_cell_length_c 6.229
_cell_angle_alpha 90.00
_cell_angle_beta 90.00
_cell_angle_gamma 90.00
loop_
_atom_site_label
_atom_site_fract_x
_atom_site_fract_y
_atom_site_fract_z
Cs1 0.000 0.500 0.000
K1 0.000 0.000 0.500
Zn1 0.000 0.000 0.000
As1 0.500 0.500 0.500
```

***

Density functional theory data (GGA-PBE) for Cs4K2ZnAs2 after structural relaxation.

Computed properties:
* DFT formation energy: -0.260 eV per atom
* M_tot: 0.0 Bohr magnetons per cell
* V: 582.6 Å³/f.u.

The structure in CIF format:
```
data_Cs4K2ZnAs2
_chemical_formula_sum 'Cs8 K4 Zn2 As4'
_symmetry_space_group_name_H-M 'C 1 2/m 1'
_symmetry_Int_Tables_number 12
_symmetry_space_group_name_Hall '-C 2y'
_cell_length_a 14.528
_cell_length_b 14.177
_cell_length_c 5.716
_cell_angle_alpha 90.00
_cell_angle_beta 98.25
_cell_angle_gamma 90.00
loop_
_atom_site_label
_atom_site_fract_x
_atom_site_fract_y
_atom_site_fract_z
Cs1 0.147 0.158 0.178
K1 0.123 0.500 0.287
Zn1 0.000 0.000 0.500
As1 0.155 0.000 0.683
```

***

Density functional theory data (GGA-PBE) for Cs2KZnAs after structural relaxation.

Computed properties:
* offset from the most stable computed form: 0.00 kJ per mole of atoms
* DFT formation energy: -0.063 eV per atom
* M_tot: 0.0 Bohr magnetons per cell
* V: 279.2 Å³/f.u.

The structure in CIF format:
```
data_Cs2KZnAs
_chemical_formula_sum 'Cs2 K1 Zn1 As1'
_symmetry_space_group_name_H-M 'P 4/m m m'
_symmetry_Int_Tables_number 123
_symmetry_space_group_name_Hall '-P 4 2'
_cell_length_a 7.560
_cell_length_b 7.560
_cell_length_c 4.885
_cell_angle_alpha 90.00
_cell_angle_beta 90.00
_cell_angle_gamma 90.00
loop_
_atom_site_label
_atom_site_fract_x
_atom_site_fract_y
_atom_site_fract_z
Cs1 0.000 0.500 0.000
K1 0.000 0.000 0.500
Zn1 0.500 0.500 0.500
As1 0.500 0.500 0.000
```

***

Density functional theory data (GGA-PBE) for CsKZn2As2 after structural relaxation.

Computed properties:
* DFT formation energy: -0.456 eV per atom
* M_tot: 0.0 Bohr magnetons per cell
* V: 177.5 Å³/f.u.

The structure in CIF format:
```
data_CsKZn2As2
_chemical_formula_sum 'Cs1 K1 Zn2 As2'
_symmetry_space_group_name_H-M 'P -3 m 1'
_symmetry_Int_Tables_number 164
_symmetry_space_group_name_Hall '-P 3 2"'
_cell_length_a 4.2917
_cell_length_b 4.2917
_cell_length_c 11.1251
_cell_angle_alpha 90.00
_cell_angle_beta 90.00
_cell_angle_gamma 120.00
loop_
_atom_site_label
_atom_site_fract_x
_atom_site_fract_y
_atom_site_fract_z
Cs1 0.0000 0.0000 0.0000
K1 0.0000 0.0000 0.5000
Zn1 0.3333 0.6667 0.7321
As1 0.3333 0.6667 0.2662
```

***

Density functional theory data (GGA-PBE) for CsLaAs3 after structural relaxation.

Computed properties:
* offset from the most stable computed form: 0.00 kJ per mole of atoms
* DFT formation energy: -0.042 eV per atom
* M_tot: 0.0 Bohr magnetons per cell
* V: 195.7 Å³/f.u.

The structure in CIF format:
```
data_CsLaAs3
_chemical_formula_sum 'Cs1 La1 As3'
_symmetry_space_group_name_H-M 'P m -3 m'
_symmetry_Int_Tables_number 221
_symmetry_space_group_name_Hall '-P 4 2 3'
_cell_length_a 5.806
_cell_length_b 5.806
_cell_length_c 5.806
_cell_angle_alpha 90.00
_cell_angle_beta 90.00
_cell_angle_gamma 90.00
loop_
_atom_site_label
_atom_site_fract_x
_atom_site_fract_y
_atom_site_fract_z
Cs1 0.000 0.000 0.000
La1 0.500 0.500 0.500
As1 0.000 0.500 0.500
```

***

Density functional theory data (GGA-PBE) for CsLaAs after structural relaxation.

Computed properties:
* DFT formation energy: -0.758 eV per atom
* M_tot: 0.0 Bohr magnetons per cell
* V: 153.4 Å³/f.u.

The structure in CIF format:
```
data_CsLaAs
_chemical_formula_sum 'Cs6 La6 As6'
_symmetry_space_group_name_H-M 'R -3 m'
_symmetry_Int_Tables_number 166
_symmetry_space_group_name_Hall '-R 3 2"'
_cell_length_a 5.0629
_cell_length_b 5.0629
_cell_length_c 41.4606
_cell_angle_alpha 90.00
_cell_angle_beta 90.00
_cell_angle_gamma 120.00
loop_
_atom_site_label
_atom_site_fract_x
_atom_site_fract_y
_atom_site_fract_z
Cs1 0.0000 0.0000 0.1104
La1 0.0000 0.0000 0.3025
As1 0.0000 0.0000 0.3786
```

***

Density functional theory data (GGA-PBE) for Cs2LaAs after structural relaxation.

Computed properties:
* DFT formation energy: -0.152 eV per atom
* M_tot: 0.0 Bohr magnetons per cell
* V: 269.9 Å³/f.u.

The structure in CIF format:
```
data_Cs2LaAs
_chemical_formula_sum 'Cs8 La4 As4'
_symmetry_space_group_name_H-M 'I -4 2 d'
_symmetry_Int_Tables_number 122
_symmetry_space_group_name_Hall 'I -4 2bw'
_cell_length_a 13.662
_cell_length_b 13.662
_cell_length_c 5.785
_cell_angle_alpha 90.00
_cell_angle_beta 90.00
_cell_angle_gamma 90.00
loop_
_atom_site_label
_atom_site_fract_x
_atom_site_fract_y
_atom_site_fract_z
Cs1 0.106 0.250 0.125
La1 0.000 0.000 0.500
As1 0.000 0.000 0.000
```

***

Density functional theory data (GGA-PBE) for Cs2LaAs2 after structural relaxation.

Computed properties:
* DFT formation energy: -0.446 eV per atom
* M_tot: 0.0 Bohr magnetons per cell
* V: 189.3 Å³/f.u.

The structure in CIF format:
```
data_Cs2LaAs2
_chemical_formula_sum 'Cs4 La2 As4'
_symmetry_space_group_name_H-M 'P 4/m b m'
_symmetry_Int_Tables_number 127
_symmetry_space_group_name_Hall '-P 4 2ab'
_cell_length_a 7.825
_cell_length_b 7.825
_cell_length_c 6.182
_cell_angle_alpha 90.00
_cell_angle_beta 90.00
_cell_angle_gamma 90.00
loop_
_atom_site_label
_atom_site_fract_x
_atom_site_fract_y
_atom_site_fract_z
Cs1 0.170 0.330 0.000
La1 0.000 0.000 0.500
As1 0.115 0.615 0.500
```